Nd2Sn3Rh4 | GGA-PBE | relaxed

Calculated formation energy, eV/f.u.: -6.65
Space group: No. 64

Structure (extended XYZ):
```
18
Lattice="-1.203 -5.306 2.694 3.481 2.335 6.153 -6.443 5.688 1.485" Properties=species:S:1:pos:R:3 pbc="T T T"
Sn -3.342 -1.970 4.890
Rh 0.984 3.324 6.986
Rh -1.032 -2.965 3.961
Rh -2.965 3.108 4.798
Rh -3.133 5.682 6.372
Nd -5.305 2.590 2.732
Rh -1.200 -0.391 5.535
Sn 1.139 -1.486 4.424
Rh -5.149 -0.607 3.347
Rh -3.734 3.029 7.719
Rh -0.430 -0.312 2.614
Sn -0.823 4.687 5.443
Sn 0.000 0.000 0.000
Nd 1.140 0.127 7.600
Sn -2.741 0.684 3.543
Sn -1.424 2.034 6.790
Nd 0.553 1.983 4.153
Nd -4.718 0.734 6.180
```